No. 1
Compound: CaThPtRh
Source: the Alexandria database
Functional: PBE-GGA
Structure: relaxed

- Calculated formation energy: -356 kJ/mol of formula units
- Magnetic moment: 0.00 μB per cell
- Density: 10.307 g/cm3
- Calculated volume: 22.96 Å³/atom
- E above lowest polymorph: 0.000 eV/atom
- Total DFT energy (no corrections): -26.502 eV per formula unit

Geometry as CIF:
```
data_CaThPtRh
_space_group_name_H-M_alt 'P 1'
_space_group_IT_number 1
_cell_length_a 3.878
_cell_length_b 4.302
_cell_length_c 5.837
_cell_angle_alpha 90.00
_cell_angle_beta 109.40
_cell_angle_gamma 90.00
loop_
_space_group_symop_operation_xyz
'x,y,z'
loop_
_atom_site_label
_atom_site_fract_x
_atom_site_fract_y
_atom_site_fract_z
Ca1 0.140 0.000 0.281
Th1 0.864 0.500 0.727
Pt1 0.586 0.500 0.172
Rh1 0.410 0.000 0.820
```


No. 2
Compound: Mg14SnB
Source: the Alexandria database
Functional: PBE-GGA
Structure: relaxed

- Calculated formation energy: 226 kJ/mol of formula units
- Magnetic moment: 0.00 μB per cell
- Density: 2.238 g/cm3
- Calculated volume: 21.79 Å³/atom
- E above lowest polymorph: 0.000 eV/atom
- Total DFT energy (no corrections): -30.660 eV per formula unit

Geometry as CIF:
```
data_Mg14SnB
_space_group_name_H-M_alt 'P 1'
_space_group_IT_number 1
_cell_length_a 6.335
_cell_length_b 6.335
_cell_length_c 9.914
_cell_angle_alpha 90.00
_cell_angle_beta 90.00
_cell_angle_gamma 118.83
loop_
_space_group_symop_operation_xyz
'x,y,z'
loop_
_atom_site_label
_atom_site_fract_x
_atom_site_fract_y
_atom_site_fract_z
Mg1 0.837 0.163 0.000
Mg2 0.336 0.664 0.000
Mg3 0.351 0.142 0.500
Mg4 0.329 0.164 0.000
Mg5 0.858 0.649 0.500
Mg6 0.836 0.671 0.000
Mg7 0.180 0.354 0.272
Mg8 0.180 0.354 0.728
Mg9 0.646 0.820 0.272
Mg10 0.646 0.820 0.728
Mg11 0.666 0.334 0.247
Mg12 0.666 0.334 0.753
Mg13 0.169 0.831 0.258
Mg14 0.169 0.831 0.742
Sn1 0.842 0.158 0.500
B1 0.288 0.712 0.500
```


No. 3
Compound: TbCeMnZn
Source: the Alexandria database
Functional: PBE-GGA
Structure: relaxed

- Calculated formation energy: -1 kJ/mol of formula units
- Magnetic moment: 1.89 μB per cell
- Density: 7.749 g/cm3
- Calculated volume: 22.47 Å³/atom
- Total DFT energy (no corrections): -21.021 eV per formula unit

Geometry as CIF:
```
data_TbCeMnZn
_space_group_name_H-M_alt 'P 1'
_space_group_IT_number 1
_cell_length_a 5.028
_cell_length_b 5.028
_cell_length_c 5.028
_cell_angle_alpha 60.00
_cell_angle_beta 60.00
_cell_angle_gamma 60.00
loop_
_space_group_symop_operation_xyz
'x,y,z'
loop_
_atom_site_label
_atom_site_fract_x
_atom_site_fract_y
_atom_site_fract_z
Zn1 0.000 0.000 0.000
Mn1 0.500 0.500 0.500
Tb1 0.750 0.750 0.750
Ce1 0.250 0.250 0.250
```


No. 4
Compound: Tl3Cu2AgF6
Source: the Alexandria database
Functional: PBE-GGA
Structure: relaxed

- Magnetic moment: 0.00 μB per cell
- Density: 7.425 g/cm3
- Calculated volume: 17.93 Å³/atom
- Total DFT energy (no corrections): -44.988 eV per formula unit

Geometry as CIF:
```
data_Tl3Cu2AgF6
_space_group_name_H-M_alt 'P 1'
_space_group_IT_number 1
_cell_length_a 6.559
_cell_length_b 6.559
_cell_length_c 5.775
_cell_angle_alpha 90.00
_cell_angle_beta 90.00
_cell_angle_gamma 120.00
loop_
_space_group_symop_operation_xyz
'x,y,z'
loop_
_atom_site_label
_atom_site_fract_x
_atom_site_fract_y
_atom_site_fract_z
Tl1 0.333 0.667 0.631
Tl2 0.667 0.333 0.369
Tl3 0.000 0.000 0.000
Cu1 0.667 0.333 0.930
Cu2 0.333 0.667 0.070
Ag1 0.000 0.000 0.500
F1 0.615 0.808 0.301
F2 0.192 0.385 0.301
F3 0.192 0.808 0.301
F4 0.808 0.615 0.699
F5 0.385 0.192 0.699
F6 0.808 0.192 0.699
```


Among the records above, which one has the highest total DFT energy (no corrections)?
TbCeMnZn


Repeat the third record exactly.
Compound: TbCeMnZn
Source: the Alexandria database
Functional: PBE-GGA
Structure: relaxed

- Calculated formation energy: -1 kJ/mol of formula units
- Magnetic moment: 1.89 μB per cell
- Density: 7.749 g/cm3
- Calculated volume: 22.47 Å³/atom
- Total DFT energy (no corrections): -21.021 eV per formula unit

Geometry as CIF:
```
data_TbCeMnZn
_space_group_name_H-M_alt 'P 1'
_space_group_IT_number 1
_cell_length_a 5.028
_cell_length_b 5.028
_cell_length_c 5.028
_cell_angle_alpha 60.00
_cell_angle_beta 60.00
_cell_angle_gamma 60.00
loop_
_space_group_symop_operation_xyz
'x,y,z'
loop_
_atom_site_label
_atom_site_fract_x
_atom_site_fract_y
_atom_site_fract_z
Zn1 0.000 0.000 0.000
Mn1 0.500 0.500 0.500
Tb1 0.750 0.750 0.750
Ce1 0.250 0.250 0.250
```